Entry 1:
VASP calculation (PBE-GGA) on crystalline Th4Bi2OsSe at its relaxed geometry.

total moment = 0.000 μB/cell
symmetry = P2/m, No. 10
V = 244 Å³/cell
calculated density = 10.990 g/cm3

Cell: 4.296 7.629 7.863 Å, 108.74 90.00 90.00°
Atoms (fractional coordinates):
Th (0.500, 0.748, 0.782)
Bi (0.500, 0.000, 0.500)
Os (0.500, 0.500, 0.000)
Th (0.000, 0.287, 0.795)
Th (0.000, 0.713, 0.205)
Se (0.000, 0.000, 0.000)
Th (0.500, 0.252, 0.218)
Bi (0.000, 0.500, 0.500)

Entry 2:
VASP calculation (PBE-GGA) on crystalline Tl2BiOsSe at its relaxed geometry.

relative energy among the computed polymorphs = 1090.6 meV per atom
total moment = 2.614 μB/cell
symmetry = P4/mmm, No. 123
V = 169 Å³/cell
calculated density = 8.691 g/cm3

Cell: 5.505 5.591 5.505 Å, 90.00 90.00 90.00°
Each line ends with the local moment (μB).
Atoms (fractional coordinates):
Bi (0.000, 0.500, 0.000)  -0.12
Tl (0.000, 0.000, 0.500)  -0.01
Os (0.500, 0.500, 0.500)  2.53
Tl (0.500, 0.000, 0.000)  0.00
Se (0.000, 0.000, 0.000)  0.00

Entry 3:
VASP calculation (PBE-GGA) on crystalline Tl2BiOsSe at its relaxed geometry.

relative energy among the computed polymorphs = 0.0 meV per atom
total moment = 0.000 μB/cell
symmetry = P4/mmm, No. 123
V = 146 Å³/cell
calculated density = 10.065 g/cm3

Cell: 5.312 5.185 5.312 Å, 90.00 90.00 90.00°
Atoms (fractional coordinates):
Tl (0.000, 0.000, 0.500)
Bi (0.000, 0.500, 0.000)
Se (0.500, 0.500, 0.500)
Os (0.000, 0.000, 0.000)
Tl (0.500, 0.000, 0.000)

Entry 4:
VASP calculation (PBE-GGA) on crystalline TlBiOsSe2 at its relaxed geometry.

total moment = 3.988 μB/cell
symmetry = P4/mmm, No. 123
V = 181 Å³/cell
calculated density = 6.983 g/cm3

Cell: 5.482 6.026 5.482 Å, 90.00 90.00 90.00°
Each line ends with the local moment (μB).
Atoms (fractional coordinates):
Os (0.500, 0.500, 0.500)  3.31
Bi (0.000, 0.000, 0.000)  -0.01
Se (0.500, 0.000, 0.000)  0.08
Tl (0.000, 0.500, 0.000)  -0.02
Se (0.000, 0.000, 0.500)  0.05

Entry 5:
VASP calculation (PBE-GGA) on crystalline SiBi2Os2 at its relaxed geometry.

relative energy among the computed polymorphs = 0.0 meV per atom
total moment = 0.000 μB/cell
symmetry = I4/mmm, No. 139
V = 111 Å³/cell
calculated density = 12.328 g/cm3

Cell: 5.596 5.596 5.319 Å, 58.26 58.26 90.00°
Atoms (fractional coordinates):
Bi (0.250, 0.750, 0.500)
Os (0.684, 0.684, 0.632)
Os (0.316, 0.316, 0.368)
Si (0.000, 0.000, 0.000)
Bi (0.750, 0.250, 0.500)

Entry 6:
VASP calculation (PBE-GGA) on crystalline Si3BiOs at its relaxed geometry.

relative energy among the computed polymorphs = 0.0 meV per atom
total moment = 0.000 μB/cell
symmetry = Pm-3m, No. 221
V = 105 Å³/cell
calculated density = 7.610 g/cm3

Cell: 4.725 4.725 4.725 Å, 90.00 90.00 90.00°
Atoms (fractional coordinates):
Si (0.500, 0.000, 0.000)
Bi (0.500, 0.500, 0.500)
Si (0.000, 0.000, 0.500)
Os (0.000, 0.000, 0.000)
Si (0.000, 0.500, 0.000)

Entry 7:
VASP calculation (PBE-GGA) on crystalline SiBi3Os at its relaxed geometry.

relative energy among the computed polymorphs = 0.0 meV per atom
total moment = 0.000 μB/cell
symmetry = Pm-3m, No. 221
V = 149 Å³/cell
calculated density = 9.449 g/cm3

Cell: 5.296 5.296 5.296 Å, 90.00 90.00 90.00°
Atoms (fractional coordinates):
Bi (0.000, 0.500, 0.000)
Os (0.000, 0.000, 0.000)
Si (0.500, 0.500, 0.500)
Bi (0.500, 0.000, 0.000)
Bi (0.000, 0.000, 0.500)

Entry 8:
VASP calculation (PBE-GGA) on crystalline SiBi2Os2 at its relaxed geometry.

relative energy among the computed polymorphs = 168.6 meV per atom
total moment = 0.000 μB/cell
symmetry = P4/mbm, No. 127
V = 201 Å³/cell
calculated density = 13.633 g/cm3

Cell: 7.851 7.851 3.267 Å, 90.00 90.00 90.00°
Atoms (fractional coordinates):
Bi (0.345, 0.155, 0.500)
Os (0.142, 0.358, 0.000)
Bi (0.845, 0.345, 0.500)
Bi (0.655, 0.845, 0.500)
Os (0.858, 0.642, 0.000)
Si (0.000, 0.000, 0.000)
Os (0.358, 0.858, 0.000)
Bi (0.155, 0.655, 0.500)
Si (0.500, 0.500, 0.000)
Os (0.642, 0.142, 0.000)

Number 1: formation energy without anion corrections -0.799 eV per atom. Number 2: formation energy without anion corrections 1.461 eV per atom. Number 3: formation energy without anion corrections 0.370 eV per atom. Number 4: formation energy without anion corrections 1.584 eV per atom. Number 5: formation energy without anion corrections 0.838 eV per atom. Number 6: formation energy without anion corrections 0.454 eV per atom. Number 7: formation energy without anion corrections 1.035 eV per atom. Number 8: formation energy without anion corrections 1.006 eV per atom.